Record 1
An optimized crystal structure of FeAg2H12C14N8. Source: OQMD, functional PBE.

Crystal system ... triclinic
Space-group type ... P-1

Cell: 6.680 7.062 9.010 Å, 70.38 79.35 84.30°
Fractional coordinates of all 37 atoms:
Fe: 0.000 0.000 0.000
Ag: 0.500 0.000 0.500
Ag: 0.500 0.500 0.000
H: 0.040 0.180 0.545
H: 0.107 0.416 0.793
H: 0.111 0.140 0.359
H: 0.131 0.744 0.599
H: 0.386 0.934 0.145
H: 0.468 0.342 0.644
H: 0.532 0.658 0.356
H: 0.614 0.066 0.855
H: 0.869 0.256 0.401
H: 0.889 0.860 0.641
H: 0.893 0.584 0.207
H: 0.960 0.820 0.455
C: 0.029 0.245 0.418
C: 0.038 0.601 0.238
C: 0.126 0.442 0.349
C: 0.278 0.304 0.027
C: 0.308 0.795 0.204
C: 0.320 0.963 0.719
C: 0.390 0.638 0.320
C: 0.610 0.362 0.680
C: 0.680 0.037 0.281
C: 0.692 0.205 0.796
C: 0.722 0.696 0.973
C: 0.874 0.558 0.651
C: 0.962 0.399 0.762
C: 0.971 0.755 0.582
N: 0.128 0.778 0.162
N: 0.165 0.187 0.025
N: 0.203 0.967 0.832
N: 0.302 0.461 0.394
N: 0.698 0.539 0.606
N: 0.797 0.033 0.168
N: 0.835 0.813 0.975
N: 0.872 0.222 0.838

Record 2
An optimized crystal structure of Ga8Cu3Mo2. Source: OQMD, functional PBE.

Crystal system ... cubic
Space-group type ... I-43d

Cell: 10.379 10.379 10.379 Å, 109.47 109.47 109.47°
Fractional coordinates of all 52 atoms:
Ga: 0.000 0.288 0.500
Ga: 0.000 0.788 0.500
Ga: 0.001 0.734 0.991
Ga: 0.009 0.509 0.243
Ga: 0.009 0.509 0.743
Ga: 0.212 0.212 0.212
Ga: 0.234 0.501 0.491
Ga: 0.234 0.991 0.999
Ga: 0.243 0.009 0.509
Ga: 0.257 0.766 0.766
Ga: 0.266 0.266 0.757
Ga: 0.266 0.757 0.266
Ga: 0.288 0.500 0.000
Ga: 0.491 0.234 0.501
Ga: 0.491 0.734 0.499
Ga: 0.499 0.491 0.734
Ga: 0.500 0.000 0.288
Ga: 0.500 0.000 0.788
Ga: 0.501 0.491 0.234
Ga: 0.509 0.243 0.009
Ga: 0.509 0.743 0.009
Ga: 0.712 0.712 0.712
Ga: 0.734 0.499 0.491
Ga: 0.734 0.991 0.001
Ga: 0.743 0.009 0.509
Ga: 0.757 0.266 0.266
Ga: 0.766 0.257 0.766
Ga: 0.766 0.766 0.257
Ga: 0.788 0.500 0.000
Ga: 0.991 0.001 0.734
Ga: 0.991 0.999 0.234
Ga: 0.999 0.234 0.991
Cu: 0.017 0.267 0.750
Cu: 0.233 0.250 0.483
Cu: 0.250 0.483 0.233
Cu: 0.250 0.767 0.517
Cu: 0.267 0.750 0.017
Cu: 0.483 0.233 0.250
Cu: 0.517 0.250 0.767
Cu: 0.733 0.983 0.750
Cu: 0.750 0.017 0.267
Cu: 0.750 0.733 0.983
Cu: 0.767 0.517 0.250
Cu: 0.983 0.750 0.733
Mo: 0.000 0.040 0.500
Mo: 0.000 0.540 0.500
Mo: 0.040 0.500 0.000
Mo: 0.460 0.460 0.460
Mo: 0.500 0.000 0.040
Mo: 0.500 0.000 0.540
Mo: 0.540 0.500 0.000
Mo: 0.960 0.960 0.960

One value per record, in order, for total energy: -246.5 -238.0 eV for the cell shown.